A relaxed CdAgPd crystal. Source: Alexandria, functional PBE.

ΔE_f ... -0.228 eV/atom
Crystal system ... triclinic
Theoretical density ... 10.3 g cm⁻³
V ... 105.7 Å³/cell

a b c (Å): 4.159 4.967 5.854
angles (deg): 76.01 89.99 65.02
Element x y z (fractional)
Cd1 0.945 0.773 0.134
Cd2 0.620 0.421 0.476
Ag1 0.282 0.099 0.811
Ag2 0.951 0.759 0.642
Pd1 0.614 0.434 0.977
Pd2 0.284 0.094 0.309



A relaxed In2CoAs crystal. Source: Alexandria, functional PBE.

ΔE_f ... 0.035 eV/atom
Crystal system ... orthorhombic
Theoretical density ... 7.6 g cm⁻³
V ... 79.5 Å³/cell

a b c (Å): 6.536 6.536 6.536
angles (deg): 153.71 139.83 48.64
Element x y z (fractional)
As1 0.423 0.423 0.000
Co1 0.266 0.766 0.500
In1 0.059 0.059 0.000
In2 0.752 0.252 0.500



A relaxed TlBi2H6 crystal. Source: Alexandria, functional PBE.

Crystal system ... monoclinic
DFT total energy ... -28.11 eV/f.u.
Theoretical density ... 6.1 g cm⁻³
V ... 171.7 Å³/cell

a b c (Å): 10.812 14.041 3.421
angles (deg): 68.93 20.98 67.35
Element x y z (fractional)
Tl1 0.000 0.000 0.000
Bi1 0.394 0.212 0.500
Bi2 0.606 0.788 0.500
H1 0.996 0.529 0.975
H2 0.525 0.471 0.975
H3 0.543 0.000 0.770
H4 0.475 0.529 0.025
H5 0.004 0.471 0.025
H6 0.457 0.000 0.230